## LaPr3Er2As6 (PBE)

Data for crystalline LaPr3Er2As6 at its relaxed geometry.

Lattice parameters (Å, degrees): 7.3579 7.3579 7.3554 99.60 99.60 120.00
With the nearest neighbours (Å) after each atom.
Atoms (fractional coordinates):
La 0.0000 0.0000 0.0000  6 As 3.02
Pr 0.1650 0.8350 0.5000  6 As 3.00-3.06
Pr 0.5000 0.5000 0.5000  6 As 2.99-3.06
Pr 0.8350 0.1650 0.5000  6 As 3.00-3.06
Er 0.3328 0.6672 0.0000  6 As 2.94-2.95
Er 0.6672 0.3328 0.0000  6 As 2.94-2.95
As 0.0807 0.4224 0.2420  2 Er 2.94-2.95, 3 Pr 3.00-3.06, 1 La 3.02
As 0.2616 0.2616 0.7596  2 Er 2.95, 3 Pr 2.99-3.05, 1 La 3.02
As 0.4224 0.0807 0.2420  2 Er 2.94-2.95, 3 Pr 3.00-3.06, 1 La 3.02
As 0.5776 0.9193 0.7580  2 Er 2.94-2.95, 3 Pr 3.00-3.06, 1 La 3.02
As 0.7384 0.7384 0.2404  2 Er 2.95, 3 Pr 2.99-3.05, 1 La 3.02
As 0.9193 0.5776 0.7580  2 Er 2.94-2.95, 3 Pr 3.00-3.06, 1 La 3.02

Values from the calculation:
Symmetry: C2/m, No. 12
Calculated formation energy in meV per atom: -1500
Spin magnetization in Bohr magnetons per cell: 0.00

---

## Be4Os (PBE)

Data for crystalline Be4Os at its relaxed geometry.

Lattice parameters (Å, degrees): 4.1732 4.1732 4.1732 90.00 90.00 90.00
With the nearest neighbours (Å) after each atom.
Atoms (fractional coordinates):
Be 0.0000 0.0000 0.0000  12 Be 2.95
Be 0.0000 0.5000 0.5000  2 Os 2.09
Be 0.5000 0.0000 0.5000  2 Os 2.09
Be 0.5000 0.5000 0.0000  2 Os 2.09
Os 0.5000 0.5000 0.5000  6 Be 2.09

Values from the calculation:
Symmetry: Pm-3m, No. 221
Distance to the lowest polymorph of the same formula in meV/atom: 1278.6
Calculated formation energy in meV per atom: 1043
Spin magnetization in Bohr magnetons per cell: 0.00

---

## Cs2SrTcO6 (PBE)

Data for crystalline Cs2SrTcO6 at its relaxed geometry.

Lattice parameters (Å, degrees): 6.7302 6.7302 6.2462 90.00 90.00 120.00
With the nearest neighbours (Å) after each atom.
Atoms (fractional coordinates):
Cs 0.3333 0.6667 0.3775  3 O 3.03
Cs 0.6667 0.3333 0.6225  3 O 3.03
Sr 0.0000 0.0000 0.0000  6 O 2.51
Tc 0.0000 0.0000 0.5000  6 O 1.90
O 0.1311 0.2622 0.6815  1 Tc 1.90
O 0.1311 0.8689 0.6815  1 Tc 1.90
O 0.2622 0.1311 0.3185  1 Tc 1.90
O 0.7378 0.8689 0.6815  1 Tc 1.90
O 0.8689 0.1311 0.3185  1 Tc 1.90
O 0.8689 0.7378 0.3185  1 Tc 1.90

Values from the calculation:
Formation energy (no corrections) in eV per atom: -1.575
Symmetry: P-3m1, No. 164
Spin magnetization in Bohr magnetons per cell: 1.04

---

## Ir2Os2Ru3 (PBE)

Data for crystalline Ir2Os2Ru3 at its relaxed geometry.

Lattice parameters (Å, degrees): 3.7993 3.8006 7.9451 76.27 76.26 89.98
With the nearest neighbours (Å) after each atom.
Atoms (fractional coordinates):
Ir 0.1208 0.1225 0.2588  6 Ru 2.62-2.79, 4 Os 2.68-2.69
Ir 0.8792 0.8775 0.7412  6 Ru 2.62-2.79, 4 Os 2.68-2.69
Os 0.3777 0.3787 0.7416  6 Ru 2.62-2.78, 4 Ir 2.68-2.69
Os 0.6223 0.6213 0.2584  6 Ru 2.62-2.78, 4 Ir 2.68-2.69
Ru 0.2435 0.7439 0.0130  4 Os 2.64-2.78, 4 Ir 2.64-2.79, 4 Ru 2.69-2.70
Ru 0.5000 0.0000 0.5000  4 Ir 2.62, 4 Os 2.62-2.63
Ru 0.7565 0.2561 0.9870  4 Os 2.64-2.78, 4 Ir 2.64-2.79, 4 Ru 2.69-2.70

Values from the calculation:
Symmetry: P-1, No. 2
Distance to the lowest polymorph of the same formula in meV/atom: 201.6
Calculated formation energy in meV per atom: 424
Spin magnetization in Bohr magnetons per cell: 0.00

---

## AlGe2As (PBE)

Data for crystalline AlGe2As at its relaxed geometry.

Lattice parameters (Å, degrees): 7.1061 7.1061 7.1061 131.72 131.72 70.67
With the nearest neighbours (Å) after each atom.
Atoms (fractional coordinates):
Al 0.0000 0.0000 0.0000  4 Ge 2.51
Al 0.7500 0.2500 0.5000  4 Ge 2.51
Ge 0.1232 0.6250 0.9982  2 Al 2.51, 2 As 2.52
Ge 0.3750 0.3732 0.4982  2 Al 2.51, 2 As 2.52
Ge 0.6268 0.1250 0.0018  2 Al 2.51, 2 As 2.52
Ge 0.8750 0.8768 0.5018  2 Al 2.51, 2 As 2.52
As 0.2500 0.7500 0.5000  4 Ge 2.52
As 0.5000 0.5000 0.0000  4 Ge 2.52

Values from the calculation:
Symmetry: I-42d, No. 122
Distance to the lowest polymorph of the same formula in meV/atom: 0.0
Calculated formation energy in meV per atom: -1
Spin magnetization in Bohr magnetons per cell: 0.00

---

## Si4Te5I2 (PBE)

Data for crystalline Si4Te5I2 at its relaxed geometry.

Lattice parameters (Å, degrees): 8.2911 8.2911 7.1721 96.47 96.47 52.96
With the nearest neighbours (Å) after each atom.
Atoms (fractional coordinates):
Si 0.0469 0.0469 0.1549  1 Si 2.47, 3 Te 2.60-2.65
Si 0.2773 0.2773 0.0701  1 I 2.51, 2 Te 2.68
Si 0.7227 0.7227 0.9299  1 I 2.51, 2 Te 2.68
Si 0.9531 0.9531 0.8451  1 Si 2.47, 3 Te 2.60-2.65
Te 0.0000 0.0000 0.5000  2 Si 2.65
Te 0.0817 0.5782 0.8035  3 Si 2.60-2.83
Te 0.4218 0.9183 0.1965  3 Si 2.60-2.83
Te 0.5782 0.0817 0.8035  3 Si 2.60-2.83
Te 0.9183 0.4218 0.1965  3 Si 2.60-2.83
I 0.4198 0.4198 0.2978  1 Si 2.51
I 0.5802 0.5802 0.7022  1 Si 2.51

Values from the calculation:
Formation energy (no corrections) in eV per atom: 0.108
Symmetry: C2/m, No. 12
Distance to the lowest polymorph of the same formula in meV/atom: 56.5
Spin magnetization in Bohr magnetons per cell: 0.00

---

Q: spin magnetization of number 1 (LaPr3Er2As6)?
A: 0.00 Bohr magnetons per cell

---

Q: What is the formula in the second record?
A: Be4Os

---

Q: Among the records above, which one has the highest spin magnetization?
A: Cs2SrTcO6